[1]
The following is a DFT calculation (GGA-PBE) of a geometry-optimized Mg6BiCO8 structure.

## Properties
* ΔE_f (raw): -1.634 eV per atom
* polymorph energy (0 for the lowest one): 38.1 meV/atom

abc: 4.4518 4.4518 8.9934
angles: 90.00 90.00 90.00
Last column: magnetic moment on the atom in μB.
Positions (direct):
O 0.0000 0.0000 0.2412  0.00
Mg 0.0000 0.5000 0.2215  0.00
Mg 0.0000 0.5000 0.7785  0.00
O 0.5000 0.0000 0.0000  0.02
O 0.5000 0.5000 0.2491  0.00
Mg 0.5000 0.0000 0.2215  0.00
Mg 0.5000 0.0000 0.7785  0.00
Mg 0.5000 0.5000 0.5000  0.00
O 0.0000 0.5000 0.0000  0.02
O 0.0000 0.5000 0.5000  0.00
O 0.5000 0.0000 0.5000  0.00
Mg 0.5000 0.5000 0.0000  0.00
C 0.0000 0.0000 0.0000  0.44
O 0.0000 0.0000 0.7588  0.00
Bi 0.0000 0.0000 0.5000  0.03
O 0.5000 0.5000 0.7509  0.00

[2]
The following is a DFT calculation (GGA-PBE) of a geometry-optimized MgSc2BiC structure.

## Properties
* formation energy from the elements: -0.49 eV per atom

abc: 4.6201 4.6201 4.4210
angles: 90.00 90.00 90.00
Positions (direct):
Sc 0.5000 0.0000 0.0000
Mg 0.0000 0.0000 0.5000
Bi 0.5000 0.5000 0.5000
C 0.0000 0.0000 0.0000
Sc 0.0000 0.5000 0.0000